Run a
VASP calculation (GGA-PBE) on RePtNO after structural relaxation. Values from VASP.

```
&SYSTEM
  ibrav = 0, nat = 8, ntyp = 4
/
ATOMIC_SPECIES
Re 186.21 Re.upf
Pt 195.08 Pt.upf
N 14.01 N.upf
O 16.00 O.upf
CELL_PARAMETERS angstrom
3.386 0.000 0.000
0.000 6.503 0.000
0.000 0.000 5.549
ATOMIC_POSITIONS angstrom
Re 0.000 1.181 0.000
Re 0.000 5.323 2.774
Pt 1.693 3.254 2.110
Pt 1.693 3.249 4.884
N 1.693 1.790 0.749
N 1.693 4.713 3.523
O 0.000 0.397 3.863
O 0.000 6.107 1.089
```

## Properties
Symmetry   Pmc2_1 (26)

---

Run b
VASP calculation (GGA-PBE) on RePtNO after structural relaxation. Values from VASP.

```
&SYSTEM
  ibrav = 0, nat = 8, ntyp = 4
/
ATOMIC_SPECIES
Re 186.21 Re.upf
Pt 195.08 Pt.upf
N 14.01 N.upf
O 16.00 O.upf
CELL_PARAMETERS angstrom
2.605 -3.207 0.000
2.605 3.207 0.000
0.000 0.000 5.327
ATOMIC_POSITIONS angstrom
Re 2.605 1.604 4.866
Re 2.605 -1.604 0.461
Pt 1.302 0.000 2.664
Pt 3.907 0.000 2.664
N 2.605 1.604 1.448
N 2.605 -1.604 3.879
O 1.302 0.000 0.000
O 3.907 0.000 0.000
```

## Properties
Symmetry   Cmme (67)

---

Energy relative to the most stable one, in kJ/mol of atoms: run a 0.0; run b 57.3

---

Run a
VASP calculation (GGA-PBE) on SmBi after structural relaxation. Values from VASP.

```
&SYSTEM
  ibrav = 0, nat = 4, ntyp = 2
/
ATOMIC_SPECIES
Sm 150.36 Sm.upf
Bi 208.98 Bi.upf
CELL_PARAMETERS angstrom
4.637 0.000 0.000
-2.318 4.015 0.000
0.000 0.000 7.062
ATOMIC_POSITIONS angstrom
Sm 0.000 0.000 0.000
Sm 0.000 0.000 3.531
Bi 0.000 2.677 1.765
Bi 2.318 1.338 5.296
```

## Properties
Symmetry   P6_3/mmc (194)

---

Run b
VASP calculation (GGA-PBE) on SmBi after structural relaxation. Values from VASP.

```
&SYSTEM
  ibrav = 0, nat = 2, ntyp = 2
/
ATOMIC_SPECIES
Sm 150.36 Sm.upf
Bi 208.98 Bi.upf
CELL_PARAMETERS angstrom
0.000 3.216 3.216
3.216 0.000 3.216
3.216 3.216 0.000
ATOMIC_POSITIONS angstrom
Sm 0.000 0.000 0.000
Bi 3.216 3.216 3.216
```

## Properties
Symmetry   Fm-3m (225)

---

Energy relative to the most stable one, in kJ/mol of atoms: run a 16.9; run b 0.0